Record 1
This record from the Alexandria database describes a geometry-optimized Be2Re structure. The functional is PBEsol.

Summary:
- crystal system = tetragonal
- Fermi-level density of states (states/eV/cell) = 5.24
- polymorph energy (0 for the lowest one) (kJ/mol of formula units) = 139
- magnetization (μB/f.u.) = 0.00

Unit cell a=2.7339 b=2.7339 c=8.2262 alpha=90.00 beta=90.00 gamma=90.00
Last column: nearest neighbours and their distance in Å.
Space group I4/mmm (No. 139)
Symmetry-distinct sites (fractional):
Be 0.0000 0.0000 0.1833  4 Be 2.22, 4 Re 2.45
Re 0.0000 0.0000 0.5000  10 Be 2.45-2.61, 4 Re 2.73

Record 2
This record from the Alexandria database describes a geometry-optimized Be2ReRh structure. The functional is PBEsol.

Summary:
- crystal system = orthorhombic
- Fermi-level density of states (states/eV/cell) = 4.88
- polymorph energy (0 for the lowest one) (kJ/mol of formula units) = 37
- magnetization (μB/f.u.) = 0.00

Unit cell a=2.7060 b=4.4848 c=7.7125 alpha=90.00 beta=90.00 gamma=90.00
Last column: nearest neighbours and their distance in Å.
Space group Immm (No. 71)
Symmetry-distinct sites (fractional):
Be 0.0000 0.0000 0.2402  2 Rh 2.29, 2 Re 2.42
Re 0.0000 0.5000 0.0000  4 Be 2.42, 4 Rh 2.62, 2 Re 2.71
Rh 0.0000 0.5000 0.5000  4 Be 2.29

Record 3
This record from the Alexandria database describes a geometry-optimized Be2ReRh structure. The functional is PBEsol.

Summary:
- crystal system = cubic
- Fermi-level density of states (states/eV/cell) = 19.77
- polymorph energy (0 for the lowest one) (kJ/mol of formula units) = 0
- magnetization (μB/f.u.) = 0.00

Unit cell a=5.5749 b=5.5749 c=5.5749 alpha=90.00 beta=90.00 gamma=90.00
Last column: nearest neighbours and their distance in Å.
Space group Fm-3m (No. 225)
Symmetry-distinct sites (fractional):
Be 0.2500 0.2500 0.2500  4 Rh 2.41, 4 Re 2.41
Re 0.0000 0.0000 0.0000  8 Be 2.41
Rh 0.0000 0.0000 0.5000  8 Be 2.41

Number 1: energy of formation from the pure elements 31 kJ/mol of formula units. Number 2: energy of formation from the pure elements 15 kJ/mol of formula units. Number 3: energy of formation from the pure elements -22 kJ/mol of formula units.